(1)
Compound: TcHg2W
Source: the Alexandria database
Functional: PBE-GGA
Structure: relaxed

Unit cell a=10.020 b=10.020 c=10.020 alpha=17.09 beta=17.09 gamma=17.09
Element x y z (fractional)
Tc: 0.000 0.000 0.000
Hg: 0.516 0.516 0.516
Hg: 0.751 0.751 0.751
W: 0.269 0.269 0.269

Results
- DOS(E_F) (states/eV per atom) = 0.7137

(2)
Compound: TcHg2W
Source: the Alexandria database
Functional: PBE-GGA
Structure: relaxed

Unit cell a=4.671 b=4.671 c=4.671 alpha=60.00 beta=60.00 gamma=60.00
Element x y z (fractional)
Tc: 0.000 0.000 0.000
Hg: 0.500 0.500 0.500
Hg: 0.750 0.750 0.750
W: 0.250 0.250 0.250

Results
- DOS(E_F) (states/eV per atom) = 1.0075

Asked for total magnetic moment across the records above, the calculation gives 0.0; 0.0 Bohr magnetons per cell in order.
Asked for energy above the lowest structure with this stoichiometry across the records above, the calculation gives 32; 529 meV per atom in order.
Asked for raw total energy across the records above, the calculation gives -5.551; -5.053 eV per atom in order.